(1)
Compound: K2MgCr
Source: Alexandria
Functional: PBE-GGA
Structure: relaxed

Summary:
- DFT total energy (eV per formula unit) = -10.4
- size of the total moment (μB/atom) = 1.265
- DFT formation energy (eV per atom) = 0.745
- density (Mg/m³) = 1.7

a b c (Å): 3.8008 3.8008 10.6657
angles (deg): 90.00 90.00 90.10
Closest atoms and distances in Å follow each position.
Atoms (fractional coordinates):
1 Cr 0.5000 0.5000 0.7500  8 K 3.69-3.70, 4 Cr 3.80
2 K 0.0000 0.0000 0.9880  4 Cr 3.69-3.70, 4 K 3.80, 4 Mg 3.88
3 K 0.0000 0.0000 0.5120  4 Cr 3.69-3.70, 4 K 3.80, 4 Mg 3.88
4 Mg 0.5000 0.5000 0.2500  4 Mg 3.80, 8 K 3.88

(2)
Compound: PmGa3CoOs
Source: Alexandria
Functional: PBE-GGA
Structure: relaxed

Summary:
- DFT total energy (eV per formula unit) = -33.3
- size of the total moment (μB/atom) = 0.000
- DFT formation energy (eV per atom) = -0.192
- density (Mg/m³) = 8.7

a b c (Å): 5.7492 7.6582 6.4877
angles (deg): 126.17 90.00 90.00
Closest atoms and distances in Å follow each position.
Atoms (fractional coordinates):
1 Pm 0.7500 0.2797 0.5594  1 Co 2.76, 2 Ga 3.00, 1 Os 3.08
2 Pm 0.2500 0.7203 0.4406  1 Co 2.76, 2 Ga 3.00, 1 Os 3.08
3 Ga 0.2500 0.1987 0.3974  1 Co 2.25, 1 Os 2.39
4 Ga 0.0000 0.2480 0.0000  2 Co 2.39, 2 Os 2.53
5 Ga 0.5000 0.7520 0.0000  2 Co 2.39, 2 Os 2.53
6 Ga 0.5000 0.2480 0.0000  2 Co 2.39, 2 Os 2.53
7 Ga 0.0000 0.7520 0.0000  2 Co 2.39, 2 Os 2.53
8 Ga 0.7500 0.8013 0.6026  1 Co 2.25, 1 Os 2.39
9 Co 0.2500 0.9835 0.9670  5 Ga 2.25-2.39
10 Co 0.7500 0.0165 0.0330  5 Ga 2.25-2.39
11 Os 0.2500 0.4266 0.8532  5 Ga 2.39-2.53
12 Os 0.7500 0.5734 0.1468  5 Ga 2.39-2.53

(3)
Compound: YTlFeCo
Source: Alexandria
Functional: PBE-GGA
Structure: relaxed

Summary:
- DFT total energy (eV per formula unit) = -24.3
- polymorph energy (0 for the lowest one) (eV/atom) = 0.0000
- size of the total moment (μB/atom) = 0.517
- DFT formation energy (eV per atom) = 0.016
- density (Mg/m³) = 8.5

a b c (Å): 3.9390 3.9390 17.8679
angles (deg): 90.00 90.00 120.00
Closest atoms and distances in Å follow each position.
Atoms (fractional coordinates):
1 Y 0.0000 0.0000 0.9288  3 Fe 2.93, 3 Co 2.96
2 Y 0.3333 0.6667 0.5955  3 Fe 2.93, 3 Co 2.96
3 Y 0.6667 0.3333 0.2621  3 Fe 2.93, 3 Co 2.96
4 Tl 0.0000 0.0000 0.1282  3 Co 2.82, 3 Fe 2.85
5 Tl 0.3333 0.6667 0.7948  3 Co 2.82, 3 Fe 2.85
6 Tl 0.6667 0.3333 0.4615  3 Co 2.82, 3 Fe 2.85
7 Co 0.0000 0.0000 0.3684  3 Fe 2.27
8 Co 0.3333 0.6667 0.0351  3 Fe 2.27
9 Co 0.6667 0.3333 0.7017  3 Fe 2.27
10 Fe 0.0000 0.0000 0.6985  3 Co 2.27
11 Fe 0.3333 0.6667 0.3652  3 Co 2.27
12 Fe 0.6667 0.3333 0.0318  3 Co 2.27

(4)
Compound: K2SrP
Source: Alexandria
Functional: PBE-GGA
Structure: relaxed

Summary:
- DFT total energy (eV per formula unit) = -9.9
- size of the total moment (μB/atom) = 0.194
- DFT formation energy (eV per atom) = -0.162
- density (Mg/m³) = 2.5

a b c (Å): 4.7836 4.7836 5.8111
angles (deg): 90.00 90.00 90.00
Closest atoms and distances in Å follow each position.
Atoms (fractional coordinates):
1 K 0.0000 0.0000 0.0000  4 K 3.38, 4 Sr 3.76, 4 P 3.76
2 K 0.5000 0.5000 0.0000  4 K 3.38, 4 Sr 3.76, 4 P 3.76
3 P 0.5000 0.0000 0.5000  4 Sr 3.38, 8 K 3.76
4 Sr 0.0000 0.5000 0.5000  4 P 3.38, 8 K 3.76

The highest size of the total moment belongs to which entry?
K2MgCr